Compound: NbTlZn2Re
Source: Alexandria via LeMat-Bulk
Functional: GGA-PBE
Structure: optimized geometry

Computed properties:
- theoretical density (g/cm3) = 8.5
- E (eV for the cell shown) = -17.6
- total magnetization (μB per atom) = 0.35

a = 4.702 Å, b = 5.426 Å, c = 4.702 Å
α = 90.00°, β = 90.00°, γ = 90.00°
Site moments in Bohr magnetons follow the coordinates.
Fractional positions:
Re  0.500  0.500  0.500  2.67
Tl  0.000  0.000  0.000  0.04
Nb  0.000  0.500  0.000  -1.18
Zn  0.000  0.000  0.500  0.02
Zn  0.500  0.000  0.000  0.02



Compound: SrCl3
Source: Alexandria via LeMat-Bulk
Functional: GGA-PBE
Structure: optimized geometry

Computed properties:
- ΔE_f (raw) (eV per atom) = -1.490
- theoretical density (g/cm3) = 2.4
- total magnetization (μB per atom) = 0.00

a = 5.390 Å, b = 5.390 Å, c = 5.441 Å
α = 90.00°, β = 90.00°, γ = 120.00°
Fractional positions:
Sr  0.667  0.333  0.750
Cl  0.000  0.000  0.992
Cl  0.000  0.000  0.508
Cl  0.667  0.333  0.250